# 1
## CoGeW3 (PBE-GGA)

Data for CoGeW3 after structural relaxation.

Results
energy	-8.070	eV per atom
formation enthalpy at 0 K	2047	meV per atom

Structure (extended XYZ):
```
5
Lattice="4.544 0.000 0.000 0.000 4.544 0.000 0.000 0.000 4.544" Properties=species:S:1:pos:R:3 pbc="T T T"
Co 0.000 0.000 0.000
Ge 2.272 2.272 2.272
W 0.000 2.272 2.272
W 2.272 0.000 2.272
W 2.272 2.272 0.000
```

# 2
## GaNi3 (PBE-GGA)

Data for GaNi3 after structural relaxation.

Results
energy	-5.327	eV per atom
formation enthalpy at 0 K	-235	meV per atom

Structure (extended XYZ):
```
8
Lattice="5.135 0.000 0.000 0.000 6.737 0.000 0.000 0.000 2.669" Properties=species:S:1:pos:R:3 pbc="T T T"
Ga 0.000 0.000 0.000
Ga 2.567 3.368 0.000
Ni 0.000 3.368 0.000
Ni 1.284 1.684 1.334
Ni 1.284 5.052 1.334
Ni 2.567 0.000 0.000
Ni 3.851 1.684 1.334
Ni 3.851 5.052 1.334
```

# 3
## Ac2Sn3Hg6Pb (PBE-GGA)

Data for Ac2Sn3Hg6Pb after structural relaxation.

Results
energy	-2.169	eV per atom
formation enthalpy at 0 K	-23	meV per atom

Structure (extended XYZ):
```
12
Lattice="4.486 0.000 0.000 0.000 4.486 0.000 0.000 0.000 20.472" Properties=species:S:1:pos:R:3 pbc="T T T"
Ac 0.000 0.000 4.601
Ac 0.000 0.000 15.871
Sn 2.243 2.243 0.000
Sn 2.243 2.243 5.770
Sn 2.243 2.243 14.703
Hg 0.000 2.243 7.908
Hg 0.000 2.243 12.564
Hg 2.243 0.000 7.908
Hg 2.243 0.000 12.564
Hg 2.243 2.243 2.783
Hg 2.243 2.243 17.690
Pb 0.000 0.000 10.236
```

# 4
## LaTb2Sb (PBE-GGA)

Data for LaTb2Sb after structural relaxation.

Results
energy	-4.867	eV per atom
uncorrected formation energy	-0.289	eV/atom

Structure (extended XYZ):
```
16
Lattice="7.688 0.000 0.000 0.000 7.688 0.000 0.000 0.000 7.688" Properties=species:S:1:pos:R:3 pbc="T T T"
La 0.000 0.000 0.000
La 0.000 3.844 3.844
La 3.844 0.000 3.844
La 3.844 3.844 0.000
Tb 1.922 1.922 1.922
Tb 1.922 1.922 5.766
Tb 1.922 5.766 1.922
Tb 1.922 5.766 5.766
Tb 5.766 1.922 1.922
Tb 5.766 1.922 5.766
Tb 5.766 5.766 1.922
Tb 5.766 5.766 5.766
Sb 0.000 0.000 3.844
Sb 0.000 3.844 0.000
Sb 3.844 0.000 0.000
Sb 3.844 3.844 3.844
```

# 5
## CeNdSO2 (PBE-GGA)

Data for CeNdSO2 after structural relaxation.

Results
energy	-7.878	eV per atom
uncorrected formation energy	-2.928	eV/atom

Structure (extended XYZ):
```
10
Lattice="3.897 0.000 0.000 0.000 3.897 0.000 0.000 0.000 12.344" Properties=species:S:1:pos:R:3 pbc="T T T"
Ce 0.000 0.000 0.000
Ce 1.948 1.948 6.172
Nd 0.000 0.000 3.657
Nd 1.948 1.948 9.829
S 0.000 0.000 8.055
S 1.948 1.948 1.883
O 0.000 1.948 4.946
O 0.000 1.948 11.118
O 1.948 0.000 4.946
O 1.948 0.000 11.118
```

# 6
## PmHoErPb (PBE-GGA)

Data for PmHoErPb after structural relaxation.

Results
energy	-4.508	eV per atom
formation enthalpy at 0 K	-108	meV per atom

Structure (extended XYZ):
```
16
Lattice="7.782 0.000 0.000 0.000 7.782 0.000 0.000 0.000 7.782" Properties=species:S:1:pos:R:3 pbc="T T T"
Pm 0.000 0.000 0.000
Pm 0.000 3.891 3.891
Pm 3.891 0.000 3.891
Pm 3.891 3.891 0.000
Ho 1.945 1.945 5.836
Ho 1.945 5.836 1.945
Ho 5.836 1.945 1.945
Ho 5.836 5.836 5.836
Er 0.000 0.000 3.891
Er 0.000 3.891 0.000
Er 3.891 0.000 0.000
Er 3.891 3.891 3.891
Pb 1.945 1.945 1.945
Pb 1.945 5.836 5.836
Pb 5.836 1.945 5.836
Pb 5.836 5.836 1.945
```

Question: energy of number 6 (PmHoErPb)?
Answer: -4.508 eV per atom